# 1
Here is a relaxed V5Ni2Rh5 crystal from Alexandria via LeMat-Bulk. Energies are from PBE.

Calculated values
The volume is 159.5 Å³/f.u. Its energy of formation is -0.286 eV/atom. As for the symmetry: C2/m (12). The density of states at the Fermi level comes out at 7.6 states/eV/cell. The total magnetic moment is 0.0 μB per formula unit.

a = 4.2290 Å, b = 6.4980 Å, c = 7.3125 Å
α = 120.92°, β = 90.00°, γ = 108.99°
Positions (direct):
V  0.0748  0.1496  0.3814
V  0.7617  0.5234  0.8097
V  0.2383  0.4766  0.1903
V  0.9252  0.8504  0.6186
V  0.0000  0.0000  0.0000
Ni  0.1532  0.3063  0.7698
Ni  0.8468  0.6937  0.2302
Rh  0.5000  0.0000  0.5000
Rh  0.6001  0.2002  0.9286
Rh  0.6783  0.3565  0.3562
Rh  0.3217  0.6435  0.6438
Rh  0.3999  0.7998  0.0714

# 2
Here is a relaxed VNi4Rh crystal from Alexandria via LeMat-Bulk. Energies are from PBE.

Calculated values
The volume is 71.1 Å³/f.u. Its energy of formation is -0.092 eV/atom. As for the symmetry: F-43m (216). The density of states at the Fermi level comes out at 7.8 states/eV/cell. Its energy above the most stable polymorph in this dataset is 0 meV per atom. The total magnetic moment is 1.3 μB per formula unit.

a = 4.6495 Å, b = 4.6495 Å, c = 4.6495 Å
α = 60.00°, β = 60.00°, γ = 60.00°
Each line ends with the local moment (μB).
Positions (direct):
Ni  0.6248  0.6248  0.1256  0.31
Ni  0.6248  0.1256  0.6248  0.31
Ni  0.6248  0.6248  0.6248  0.31
Ni  0.1256  0.6248  0.6248  0.31
Rh  0.2500  0.2500  0.2500  0.35
V  0.0000  0.0000  0.0000  -0.19

# 3
Here is a relaxed VNiRh crystal from Alexandria via LeMat-Bulk. Energies are from PBE.

Calculated values
The volume is 38.5 Å³/f.u. Its energy of formation is -0.214 eV/atom. As for the symmetry: P3m1 (156). The density of states at the Fermi level comes out at 3.8 states/eV/cell. Its energy above the most stable polymorph in this dataset is 0 meV per atom. The total magnetic moment is 0.0 μB per formula unit.

a = 2.6118 Å, b = 4.1253 Å, c = 4.1253 Å
α = 120.00°, β = 90.00°, γ = 90.00°
Positions (direct):
Ni  0.7841  0.3333  0.6667
Rh  0.3260  0.6667  0.3333
V  0.8900  0.0000  0.0000

# 4
Here is a relaxed VNiRh4 crystal from Alexandria via LeMat-Bulk. Energies are from PBE.

Calculated values
The volume is 92.5 Å³/f.u. Its energy of formation is 0.145 eV/atom. As for the symmetry: C2/m (12). The density of states at the Fermi level comes out at 11.9 states/eV/cell. Its energy above the most stable polymorph in this dataset is 0 meV per atom. The total magnetic moment is 0.0 μB per formula unit.

a = 5.6787 Å, b = 5.7071 Å, c = 5.7072 Å
α = 90.00°, β = 90.00°, γ = 89.89°
Positions (direct):
V  0.0000  0.2500  0.7501
V  0.0000  0.7500  0.2499
Ni  0.5000  0.2500  0.2501
Ni  0.5000  0.7500  0.7499
Rh  0.2480  0.5002  0.9997
Rh  0.2478  0.5002  0.5003
Rh  0.7520  0.9998  0.9997
Rh  0.7522  0.4998  0.4997
Rh  0.7522  0.9998  0.5003
Rh  0.2480  0.0002  0.0003
Rh  0.2478  0.0002  0.4997
Rh  0.7520  0.4998  0.0003

# 5
Here is a relaxed V2Ni5Rh crystal from Alexandria via LeMat-Bulk. Energies are from PBE.

Calculated values
The volume is 95.4 Å³/f.u. Its energy of formation is -0.094 eV/atom. As for the symmetry: Immm (71). The density of states at the Fermi level comes out at 10.1 states/eV/cell. Its energy above the most stable polymorph in this dataset is 135 meV per atom. The total magnetic moment is 0.0 μB per formula unit.

a = 2.5563 Å, b = 6.2929 Å, c = 6.2929 Å
α = 77.46°, β = 78.28°, γ = 78.28°
Positions (direct):
V  0.7427  0.7573  0.7573
V  0.2573  0.2427  0.2427
Ni  0.0000  0.5000  0.5000
Ni  0.6302  0.5982  0.1413
Ni  0.3698  0.4018  0.8587
Ni  0.3698  0.8587  0.4018
Ni  0.6302  0.1413  0.5982
Rh  0.0000  0.0000  0.0000

# 6
Here is a relaxed V2Ni3Rh crystal from Alexandria via LeMat-Bulk. Energies are from PBE.

Calculated values
The volume is 73.8 Å³/f.u. Its energy of formation is -0.147 eV/atom. As for the symmetry: C2/m (12). The density of states at the Fermi level comes out at 16.4 states/eV/cell. Its energy above the most stable polymorph in this dataset is 0 meV per atom. The total magnetic moment is 0.0 μB per formula unit.

a = 4.2464 Å, b = 6.7595 Å, c = 6.8401 Å
α = 125.44°, β = 90.00°, γ = 108.31°
Positions (direct):
V  0.5255  0.0509  0.8534
V  0.4745  0.9491  0.1466
V  0.7972  0.5944  0.1550
V  0.2028  0.4056  0.8450
Ni  0.2934  0.5867  0.6044
Ni  0.9602  0.9204  0.6217
Ni  0.6182  0.2364  0.6349
Ni  0.3818  0.7636  0.3651
Ni  0.0398  0.0796  0.3783
Ni  0.7066  0.4133  0.3956
Rh  0.8668  0.7337  0.8854
Rh  0.1332  0.2663  0.1146

# 7
Here is a relaxed VNi3Rh crystal from Alexandria via LeMat-Bulk. Energies are from PBE.

Calculated values
The volume is 73.2 Å³/f.u. Its energy of formation is 1.044 eV/atom. As for the symmetry: Pm-3m (221). The density of states at the Fermi level comes out at 6.1 states/eV/cell. Its energy above the most stable polymorph in this dataset is 1221 meV per atom. The total magnetic moment is 0.0 μB per formula unit.

a = 4.1828 Å, b = 4.1828 Å, c = 4.1828 Å
α = 90.00°, β = 90.00°, γ = 90.00°
Positions (direct):
Ni  0.0000  0.5000  0.0000
Ni  0.0000  0.0000  0.5000
Ni  0.5000  0.0000  0.0000
Rh  0.5000  0.5000  0.5000
V  0.0000  0.0000  0.0000

# 8
Here is a relaxed VNi8Rh6 crystal from Alexandria via LeMat-Bulk. Energies are from PBE.

Calculated values
The volume is 187.7 Å³/f.u. Its energy of formation is -0.044 eV/atom. As for the symmetry: C2/m (12). The density of states at the Fermi level comes out at 22.2 states/eV/cell. The total magnetic moment is 5.5 μB per formula unit.

a = 8.5970 Å, b = 5.8467 Å, c = 7.7023 Å
α = 59.11°, β = 45.68°, γ = 42.67°
Each line ends with the local moment (μB).
Positions (direct):
V  0.0000  0.0000  0.0000  -0.45
Ni  0.5403  0.3295  0.3993  0.54
Ni  0.7995  0.0001  0.6013  0.59
Ni  0.1301  0.3297  0.6008  0.54
Ni  0.6683  0.6634  0.0001  0.46
Ni  0.3317  0.3366  0.9999  0.46
Ni  0.8699  0.6703  0.3992  0.54
Ni  0.2005  0.9999  0.3987  0.59
Ni  0.4597  0.6705  0.6007  0.54
Rh  0.4041  0.0000  0.7916  0.34
Rh  0.9296  0.3332  0.2040  0.34
Rh  0.2627  0.6666  0.2041  0.33
Rh  0.7373  0.3334  0.7959  0.33
Rh  0.0704  0.6668  0.7960  0.34
Rh  0.5959  0.0000  0.2084  0.34